# PmPr7Tm3

Crystalline PmPr7Tm3 at its relaxed geometry (GGA-PBE, the Alexandria database).

```
PmPr7Tm3
1.0
-3.9673 -2.6344 -4.3774
-0.8941 -5.7743 5.2340
-5.7633 3.2393 4.2229
Tm Pr Pm
3 7 1
direct
0.5000 0.0000 0.0000
0.0000 0.1668 0.8332
0.0000 0.8332 0.1668
0.7843 0.7654 0.7654
0.2599 0.5780 0.9290
0.7401 0.4220 0.0710
0.2599 0.9290 0.5780
0.2157 0.2346 0.2346
0.0000 0.5000 0.5000
0.7401 0.0710 0.4220
0.5000 0.5000 0.5000
```

Results
The final energy comes out at -4.4633 eV/atom. Its formation energy is 230 meV per atom. The calculation puts the energy above the most stable polymorph in this dataset at 15.7 meV/atom.


# CeDyLuHf

Crystalline CeDyLuHf at its relaxed geometry (GGA-PBE, the Alexandria database).

```
CeDyLuHf
1.0
-4.7332 -2.1220 -1.4649
-1.2194 -5.0692 1.3669
-3.7905 -0.9529 3.7117
Ce Lu Hf Dy
1 1 1 1
direct
0.5000 0.5000 0.5000
0.7500 0.7500 0.7500
0.2500 0.2500 0.2500
0.0000 0.0000 0.0000
```

Results
The final energy comes out at -6.0197 eV/atom. Its formation energy is 233 meV per atom.


# ScIr2Ru

Crystalline ScIr2Ru at its relaxed geometry (GGA-PBE, the Alexandria database).

```
ScIr2Ru
1.0
-0.9593 1.2807 2.3246
-2.2622 -1.6872 -0.0040
3.8562 -5.1808 4.4455
Ir Sc Ru
2 1 1
direct
0.0000 0.0000 0.0113
0.5000 0.5000 0.2557
0.5000 0.5000 0.7534
0.0000 0.0000 0.4796
```

Results
The final energy comes out at -8.5473 eV/atom. Its formation energy is -215 meV per atom. The calculation puts the energy above the most stable polymorph in this dataset at 227.8 meV/atom.


# Ac4PrTh3N8

Crystalline Ac4PrTh3N8 at its relaxed geometry (GGA-PBE, the Alexandria database).

```
Ac4PrTh3N8
1.0
7.5277 0.0000 0.0000
0.0000 7.5926 0.0400
-3.7638 -3.7598 5.3250
Ac N Th Pr
4 8 3 1
direct
0.5000 0.0000 0.0000
0.5000 0.0000 0.5000
0.0000 0.0000 0.0000
0.0000 0.0000 0.5000
0.7542 0.2785 0.0242
0.2699 0.2785 0.0242
0.7543 0.2786 0.5086
0.2457 0.7214 0.4914
0.7388 0.7164 0.4776
0.2612 0.2836 0.5224
0.2458 0.7215 0.9758
0.7301 0.7215 0.9758
0.0000 0.5000 0.5000
0.5000 0.5000 0.5000
0.5000 0.5000 0.0000
0.0000 0.5000 0.0000
```

Results
The final energy comes out at -8.2148 eV/atom. The uncorrected formation energy is -1335 meV/atom.